This record from Alexandria describes a relaxed SrNpV2O8 crystal. The functional is PBE+U.

Values from the calculation:
calculated volume	176.8	Å³ per cell
DOS(E_F)	0.816	states/eV/atom
VASP energy	-98.3	eV per formula unit
crystal system	tetragonal

a = 6.148 Å, b = 6.148 Å, c = 6.148 Å
α = 106.02°, β = 106.02°, γ = 116.62°
Fractional coordinates of all 12 atoms:
Sr  0.000  0.000  0.000
Np  0.250  0.750  0.500
V  0.500  0.500  0.000
V  0.750  0.250  0.500
O  0.339  0.148  0.809
O  0.339  0.530  0.191
O  0.394  0.066  0.328
O  0.470  0.661  0.809
O  0.739  0.066  0.672
O  0.852  0.661  0.191
O  0.934  0.261  0.328
O  0.934  0.606  0.672